## one
A plane-wave DFT calculation with GGA-PBE was carried out for an optimized crystal structure of CdGaW.

Structure (POSCAR):
```
CdGaW
1.0
-1.916 -3.525 1.990
-2.779 0.617 3.458
-4.390 -0.739 -0.495
Cd Ga W
1 1 1
direct
0.750 0.750 0.750
0.250 0.250 0.250
0.500 0.500 0.500
```

Results
- Symmetry: F-43m, No. 216
- Spin magnetization: 0.53 μB per atom

## two
A plane-wave DFT calculation with GGA-PBE was carried out for an optimized crystal structure of CdGaW.

Structure (POSCAR):
```
CdGaW
1.0
0.000 3.159 3.159
3.159 0.000 3.159
3.159 3.159 0.000
Cd Ga W
1 1 1
direct
0.000 0.000 0.000
0.250 0.250 0.250
0.750 0.750 0.750
```

Results
- Symmetry: F-43m, No. 216
- Spin magnetization: 0.86 μB per atom

one comes first in stability; the runner-up is 297 meV per atom higher.